# BaTl2VO4 | Alexandria | PBE with a Hubbard U | optimized geometry
data_BaTl2VO4
_chemical_formula_sum 'Ba2 Tl4 V2 O8'
_space_group_name_H-M_alt 'P m n 21'
_space_group_IT_number 31
_cell_length_a 7.1970
_cell_length_b 9.8556
_cell_length_c 5.1628
_cell_angle_alpha 90.00
_cell_angle_beta 90.00
_cell_angle_gamma 90.00
loop_
_space_group_symop_operation_xyz
'x,y,z'
'-x+1/2,-y,z+1/2'
'-x,y,z'
'x+1/2,-y,z+1/2'
loop_
_atom_site_label
_atom_site_type_symbol
_atom_site_fract_x
_atom_site_fract_y
_atom_site_fract_z
Ba1 Ba 0.0000 0.0959 0.0000
Tl1 Tl 0.2426 0.6160 0.9684
V1 V 0.0000 0.8265 0.4304
O1 O 0.0000 0.9997 0.5084
O2 O 0.0000 0.8268 0.0926
O3 O 0.2050 0.7482 0.5352
# **Size of the total moment**: 0.000 μB per atom
# **Total DFT energy (no corrections)**: -5.961 eV/atom